[1]
A relaxed ZnSiAu2 crystal. Source: the Alexandria database, functional PBE.

The value obtained for the uncorrected formation energy is 0.125 eV per atom.

Cell: 3.926 4.284 8.012 Å, 90.00 90.00 90.00°
Fractional positions:
Zn (0.000, 0.000, 0.000)
Zn (0.500, 0.500, 0.000)
Si (0.000, 0.500, 0.243)
Si (0.500, 0.000, 0.243)
Au (0.000, 0.000, 0.477)
Au (0.000, 0.500, 0.763)
Au (0.500, 0.000, 0.763)
Au (0.500, 0.500, 0.477)

[2]
A relaxed HfTl crystal. Source: the Alexandria database, functional PBE.

As for the energy of formation from the pure elements: 213 meV per atom.

Cell: 11.201 11.201 3.303 Å, 90.00 90.00 90.00°
Fractional positions:
Hf (0.085, 0.634, 0.000)
Hf (0.134, 0.415, 0.500)
Hf (0.366, 0.085, 0.000)
Hf (0.415, 0.866, 0.500)
Hf (0.585, 0.134, 0.500)
Hf (0.634, 0.915, 0.000)
Hf (0.866, 0.585, 0.500)
Hf (0.915, 0.366, 0.000)
Tl (0.104, 0.168, 0.000)
Tl (0.168, 0.896, 0.000)
Tl (0.332, 0.604, 0.500)
Tl (0.396, 0.332, 0.500)
Tl (0.604, 0.668, 0.500)
Tl (0.668, 0.396, 0.500)
Tl (0.832, 0.104, 0.000)
Tl (0.896, 0.832, 0.000)

[3]
A relaxed TlInH3 crystal. Source: the Alexandria database, functional PBE.

The value obtained for the offset from the most stable computed form is 0.187 eV per atom.

Cell: 4.262 4.262 4.262 Å, 90.00 90.00 90.00°
Fractional positions:
Tl (0.000, 0.000, 0.000)
In (0.500, 0.500, 0.500)
H (0.000, 0.000, 0.500)
H (0.000, 0.500, 0.000)
H (0.500, 0.000, 0.000)

[4]
A relaxed Y5Ho6Th crystal. Source: the Alexandria database, functional PBE.

As for the energy of formation from the pure elements: 30 meV per atom.

Cell: 9.406 9.406 9.406 Å, 149.04 115.45 73.31°
Fractional positions:
Y (0.000, 0.000, 0.000)
Y (0.167, 0.667, 0.500)
Y (0.335, 0.335, 0.000)
Y (0.665, 0.665, 0.000)
Y (0.833, 0.333, 0.500)
Ho (0.086, 0.835, 0.251)
Ho (0.253, 0.500, 0.753)
Ho (0.416, 0.165, 0.251)
Ho (0.584, 0.835, 0.749)
Ho (0.747, 0.500, 0.247)
Ho (0.914, 0.165, 0.749)
Th (0.500, 0.000, 0.500)

[5]
A relaxed Mg2GeHIr crystal. Source: the Alexandria database, functional PBE.

The value obtained for the offset from the most stable computed form is 0.985 eV per atom.

Cell: 5.089 5.089 4.561 Å, 90.00 90.00 90.00°
Fractional positions:
Mg (0.000, 0.500, 0.000)
Mg (0.500, 0.000, 0.000)
Ge (0.000, 0.000, 0.000)
H (0.500, 0.500, 0.500)
Ir (0.000, 0.000, 0.500)

[6]
A relaxed CePaPt2 crystal. Source: the Alexandria database, functional PBE.

The value obtained for the offset from the most stable computed form is 0.104 eV per atom. As for the energy of formation from the pure elements: -895 meV per atom.

Cell: 3.998 3.998 21.560 Å, 90.00 90.00 120.00°
Fractional positions:
Ce (0.000, 0.000, 0.000)
Ce (0.333, 0.667, 0.667)
Ce (0.667, 0.333, 0.333)
Pa (0.000, 0.000, 0.171)
Pa (0.333, 0.667, 0.838)
Pa (0.667, 0.333, 0.504)
Pt (0.000, 0.000, 0.581)
Pt (0.000, 0.000, 0.759)
Pt (0.333, 0.667, 0.247)
Pt (0.333, 0.667, 0.426)
Pt (0.667, 0.333, 0.092)
Pt (0.667, 0.333, 0.914)

[7]
A relaxed UCo4C crystal. Source: the Alexandria database, functional PBE.

As for the energy of formation from the pure elements: 70 meV per atom.

Cell: 6.865 3.437 5.866 Å, 90.00 90.00 90.00°
Fractional positions:
U (0.250, 0.000, 0.091)
U (0.750, 0.000, 0.909)
Co (0.000, 0.000, 0.500)
Co (0.070, 0.500, 0.799)
Co (0.250, 0.500, 0.438)
Co (0.430, 0.500, 0.799)
Co (0.500, 0.000, 0.500)
Co (0.570, 0.500, 0.201)
Co (0.750, 0.500, 0.562)
Co (0.930, 0.500, 0.201)
C (0.250, 0.000, 0.632)
C (0.750, 0.000, 0.368)

[8]
A relaxed Tb4Y3Tl4 crystal. Source: the Alexandria database, functional PBE.

As for the energy of formation from the pure elements: -244 meV per atom.

Cell: 10.690 10.690 10.690 Å, 160.16 127.29 56.87°
Fractional positions:
Tb (0.023, 0.837, 0.186)
Tb (0.349, 0.163, 0.186)
Tb (0.651, 0.837, 0.814)
Tb (0.977, 0.163, 0.814)
Y (0.000, 0.500, 0.500)
Y (0.404, 0.404, 0.000)
Y (0.596, 0.596, 0.000)
Tl (0.270, 0.770, 0.500)
Tl (0.279, 0.000, 0.279)
Tl (0.721, 0.000, 0.721)
Tl (0.730, 0.230, 0.500)